An optimized crystal structure of Fe2PRhCl. Source: Alexandria via LeMat-Bulk, functional GGA-PBE. Values from VASP.

Calculated values
VASP energy = -5.885 eV per atom
Space-group type = P4/mmm, No. 123

Structure (Quantum ESPRESSO input):
```
&SYSTEM
  ibrav = 0, nat = 5, ntyp = 4
/
ATOMIC_SPECIES
P 30.97 P.upf
Rh 102.91 Rh.upf
Fe 55.84 Fe.upf
Cl 35.45 Cl.upf
CELL_PARAMETERS angstrom
-1.4576 0.2609 4.1362
-3.7579 -2.0027 -1.1980
1.8020 -3.9085 0.8816
ATOMIC_POSITIONS angstrom
P 0.0000 0.0000 0.0000
Rh -1.8789 -1.0014 -0.5990
Fe 0.9010 -1.9543 0.4408
Fe -0.7288 0.1305 2.0681
Cl -1.7068 -2.8252 1.9099
```